[1]
DFT (PBE-GGA) results for an optimized crystal structure of In2BN.

Cell and atoms, written as POSCAR:
```
In2BN
1.0
5.448 0.000 0.000
0.000 5.448 0.000
0.000 0.000 9.619
In B N
8 4 4
direct
0.227 0.250 0.125
0.250 0.727 0.375
0.250 0.773 0.875
0.273 0.250 0.625
0.727 0.750 0.625
0.750 0.227 0.875
0.750 0.273 0.375
0.773 0.750 0.125
0.000 0.000 0.500
0.000 0.500 0.750
0.500 0.000 0.250
0.500 0.500 0.000
0.000 0.000 0.000
0.000 0.500 0.250
0.500 0.000 0.750
0.500 0.500 0.500
```

Values from the calculation:
DOS(E_F) ... 1.64 states/eV per cell
Crystal system ... tetragonal
Formation energy (no corrections) ... 725 meV/atom
Magnetic moment ... 0.00 μB/f.u.
Relative energy among the computed polymorphs ... 0.0 meV per atom

=====

[2]
DFT (PBE-GGA) results for an optimized crystal structure of InB3N3.

Cell and atoms, written as POSCAR:
```
InB3N3
1.0
4.846 0.000 0.000
0.000 4.846 0.000
0.000 0.000 4.846
In B N
2 6 6
direct
0.000 0.000 0.000
0.500 0.500 0.500
0.000 0.250 0.500
0.000 0.750 0.500
0.250 0.500 0.000
0.500 0.000 0.250
0.500 0.000 0.750
0.750 0.500 0.000
0.000 0.500 0.250
0.000 0.500 0.750
0.250 0.000 0.500
0.500 0.250 0.000
0.500 0.750 0.000
0.750 0.000 0.500
```

Values from the calculation:
DOS(E_F) ... 3.53 states/eV per cell
Crystal system ... cubic
Formation energy (no corrections) ... 384 meV/atom
Magnetic moment ... 0.00 μB/f.u.

=====

[3]
DFT (PBE-GGA) results for an optimized crystal structure of InBN2.

Cell and atoms, written as POSCAR:
```
InBN2
1.0
3.458 0.000 0.000
-1.729 2.995 0.000
0.000 0.000 14.832
In B N
3 3 6
direct
0.000 0.000 0.000
0.333 0.667 0.667
0.667 0.333 0.333
0.000 0.000 0.500
0.333 0.667 0.167
0.667 0.333 0.833
0.000 0.000 0.410
0.000 0.000 0.590
0.333 0.667 0.076
0.333 0.667 0.257
0.667 0.333 0.743
0.667 0.333 0.924
```

Values from the calculation:
DOS(E_F) ... 0.00 states/eV per cell
Crystal system ... trigonal
Formation energy (no corrections) ... -282 meV/atom
Magnetic moment ... 0.00 μB/f.u.
Relative energy among the computed polymorphs ... 0.0 meV per atom

=====

[4]
DFT (PBE-GGA) results for an optimized crystal structure of InBN2.

Cell and atoms, written as POSCAR:
```
InBN2
1.0
4.534 0.000 0.000
0.000 4.534 0.000
0.000 0.000 7.640
In B N
4 4 8
direct
0.000 0.000 0.000
0.000 0.500 0.250
0.500 0.000 0.750
0.500 0.500 0.500
0.000 0.000 0.500
0.000 0.500 0.750
0.500 0.000 0.250
0.500 0.500 0.000
0.145 0.250 0.625
0.250 0.645 0.875
0.250 0.855 0.375
0.355 0.250 0.125
0.645 0.750 0.125
0.750 0.145 0.375
0.750 0.355 0.875
0.855 0.750 0.625
```

Values from the calculation:
DOS(E_F) ... 0.00 states/eV per cell
Crystal system ... tetragonal
Formation energy (no corrections) ... -225 meV/atom
Magnetic moment ... 0.00 μB/f.u.
Relative energy among the computed polymorphs ... 57.5 meV per atom

=====

[5]
DFT (PBE-GGA) results for an optimized crystal structure of InBN2.

Cell and atoms, written as POSCAR:
```
InBN2
1.0
5.471 0.000 0.000
0.000 5.471 0.000
0.000 0.000 5.471
In B N
4 4 8
direct
0.000 0.000 0.000
0.000 0.500 0.500
0.500 0.000 0.500
0.500 0.500 0.000
0.000 0.000 0.500
0.000 0.500 0.000
0.500 0.000 0.000
0.500 0.500 0.500
0.250 0.250 0.250
0.250 0.250 0.750
0.250 0.750 0.250
0.250 0.750 0.750
0.750 0.250 0.250
0.750 0.250 0.750
0.750 0.750 0.250
0.750 0.750 0.750
```

Values from the calculation:
DOS(E_F) ... 12.00 states/eV per cell
Crystal system ... cubic
Formation energy (no corrections) ... 2107 meV/atom
Magnetic moment ... 0.00 μB/f.u.
Relative energy among the computed polymorphs ... 2389.6 meV per atom

=====

[6]
DFT (PBE-GGA) results for an optimized crystal structure of InBN.

Cell and atoms, written as POSCAR:
```
InBN
1.0
2.654 0.000 0.000
0.000 6.296 0.000
0.000 0.000 17.450
In B N
4 4 4
direct
0.000 0.000 0.000
0.000 0.500 0.500
0.500 0.000 0.500
0.500 0.500 0.000
0.000 0.000 0.747
0.000 0.500 0.247
0.500 0.000 0.247
0.500 0.500 0.747
0.000 0.000 0.247
0.000 0.500 0.747
0.500 0.000 0.747
0.500 0.500 0.247
```

Values from the calculation:
DOS(E_F) ... 2.58 states/eV per cell
Crystal system ... orthorhombic
Formation energy (no corrections) ... -89 meV/atom
Magnetic moment ... 0.00 μB/f.u.

=====

Number 1: energy -0.32305 Ry/atom. Number 2: energy -0.47314 Ry/atom. Number 3: energy -0.49972 Ry/atom. Number 4: energy -0.49550 Ry/atom. Number 5: energy -0.32409 Ry/atom. Number 6: energy -0.44120 Ry/atom.